Entry from the Alexandria database: BaRu2Pt after structural relaxation (PBE-GGA).

a = 2.9577 Å, b = 2.9577 Å, c = 30.1403 Å
α = 90.00°, β = 90.00°, γ = 120.00°
Space group R-3m (No. 166, hexagonal axes)
Unique sites:
Ba1 0.0000 0.0000 0.0000
Ru1 0.0000 0.0000 0.2365
Pt1 0.0000 0.0000 0.5000

Results
- DOS(E_F): 18.1 states/eV per cell
- Energy of formation: 968 meV/atom
- Total moment: 0.00 μB per atom

=====

Entry from the Alexandria database: Rb4DyTh3Se8 after structural relaxation (PBE-GGA).

a = 10.0036 Å, b = 10.0036 Å, c = 27.6165 Å
α = 90.00°, β = 90.00°, γ = 120.00°
Space group R-3m (No. 166, hexagonal axes)
Unique sites:
Rb1 0.0000 0.0000 0.0000
Rb2 0.0000 0.5000 0.0000
Dy1 0.0000 0.0000 0.5000
Th1 0.0000 0.5000 0.5000
Se1 0.0000 0.0000 0.1578
Se2 0.0158 0.5079 0.4017

Results
- E_tot: -4.3745 eV/atom
- DOS(E_F): 55.7 states/eV per cell
- Total moment: 0.10 μB per atom

=====

Entry from the Alexandria database: NiRu2Rh after structural relaxation (PBE-GGA).

a = 4.521 Å, b = 4.521 Å, c = 2.688 Å
α = 90.00°, β = 90.00°, γ = 90.00°
Space group P4/mmm (No. 123)
Unique sites:
Ni1 0.000 0.000 0.000
Ru1 0.000 0.500 0.500
Rh1 0.500 0.500 0.000

Results
- DOS(E_F): 6.9 states/eV per cell
- Energy of formation: 383 meV/atom
- Total moment: 0.41 μB per atom

=====

Entry from the Alexandria database: TlSnPb2Br after structural relaxation (PBE-GGA).

a = 9.808 Å, b = 5.749 Å, c = 6.314 Å
α = 90.00°, β = 113.89°, γ = 90.00°
Space group Cm (No. 8)
Unique sites:
Tl1 0.000 0.000 0.000
Sn1 0.359 0.000 0.251
Pb1 0.111 0.500 0.743
Pb2 0.261 0.000 0.710
Br1 0.299 0.500 0.334

Results
- E_tot: -3.1700 eV/atom
- DOS(E_F): 4.7 states/eV per cell
- Total moment: 0.00 μB per atom

=====

Entry from the Alexandria database: DyGa3Au after structural relaxation (PBE-GGA).

a = 4.162 Å, b = 24.004 Å, c = 4.130 Å
α = 90.00°, β = 90.00°, γ = 90.00°
Space group Cmmm (No. 65)
Unique sites:
Dy1 0.000 0.172 0.000
Ga1 0.000 0.052 0.500
Ga2 0.000 0.276 0.500
Ga3 0.000 0.448 0.000
Au1 0.000 0.380 0.500

Results
- DOS(E_F): 7.8 states/eV per cell
- Energy of formation: -489 meV/atom
- Total moment: 0.00 μB per atom

=====

Entry from the Alexandria database: Ga2PtAu2 after structural relaxation (PBE-GGA).

a = 8.466 Å, b = 3.319 Å, c = 7.109 Å
α = 90.00°, β = 121.14°, γ = 90.00°
Space group C2/m (No. 12)
Unique sites:
Ga1 0.208 0.000 0.307
Pt1 0.000 0.000 0.500
Au1 0.087 0.500 0.878

Results
- DOS(E_F): 3.3 states/eV per cell
- Energy of formation: -241 meV/atom
- Total moment: 0.00 μB per atom